[1]
## AlCoTc2 (PBE-GGA)

Data for an optimized crystal structure of AlCoTc2.

a b c (Å): 3.0628 4.1994 8.2993
angles (deg): 90.00 90.00 90.00
Space group Imm2 (No. 44)
One atom of each set of equivalent atoms:
Al 0.0000 0.0000 0.0000 x2
Co 0.0000 0.5000 0.7329 x2
Tc 0.0000 0.0000 0.4880 x2
Tc 0.0000 0.5000 0.2427 x2

- DFT total energy (eV/atom) = -8.063
- formation energy (eV per atom) = -0.17

---

[2]
## AlCoTc2 (PBE-GGA)

Data for an optimized crystal structure of AlCoTc2.

a b c (Å): 5.0221 7.9016 2.7344
angles (deg): 90.00 90.00 90.00
Space group Cmmm (No. 65)
One atom of each set of equivalent atoms:
Al 0.0000 0.0000 0.0000 x2
Co 0.0000 0.5000 0.0000 x2
Tc 0.2500 0.2500 0.5000 x4

- DFT total energy (eV/atom) = -7.930
- formation energy (eV per atom) = -0.04

---

[3]
## Ti3Al3Co2Tc (PBE-GGA)

Data for an optimized crystal structure of Ti3Al3Co2Tc.

a b c (Å): 7.1644 7.1644 2.9653
angles (deg): 90.00 90.00 120.00
Space group P-62m (No. 189)
One atom of each set of equivalent atoms:
Ti 0.0000 0.7092 0.0000 x3
Al 0.0000 0.3773 0.5000 x3
Co 0.3333 0.6667 0.0000 x2
Tc 0.0000 0.0000 0.5000 x1

- DFT total energy (eV/atom) = -6.992
- formation energy (eV per atom) = -0.38

---

[4]
## AlVCoTc (PBE-GGA)

Data for an optimized crystal structure of AlVCoTc.

a b c (Å): 5.9081 5.9081 5.9081
angles (deg): 90.00 90.00 90.00
Space group F-43m (No. 216)
One atom of each set of equivalent atoms:
Al 0.0000 0.0000 0.0000 x4
V 0.0000 0.0000 0.5000 x4
Co 0.2500 0.2500 0.2500 x4
Tc 0.2500 0.2500 0.7500 x4

- DFT total energy (eV/atom) = -8.015
- formation energy (eV per atom) = -0.43

---

[5]
## AlCoTcW (PBE-GGA)

Data for an optimized crystal structure of AlCoTcW.

a b c (Å): 6.0503 6.0503 6.0503
angles (deg): 90.00 90.00 90.00
Space group F-43m (No. 216)
One atom of each set of equivalent atoms:
Al 0.0000 0.0000 0.0000 x4
Co 0.2500 0.2500 0.7500 x4
Tc 0.2500 0.2500 0.2500 x4
W 0.0000 0.0000 0.5000 x4

- DFT total energy (eV/atom) = -8.771
- formation energy (eV per atom) = -0.23

---

[6]
## ZrAlCoTc (PBE-GGA)

Data for an optimized crystal structure of ZrAlCoTc.

a b c (Å): 6.2252 6.2252 6.2252
angles (deg): 90.00 90.00 90.00
Space group F-43m (No. 216)
One atom of each set of equivalent atoms:
Zr 0.0000 0.0000 0.0000 x4
Al 0.0000 0.0000 0.5000 x4
Co 0.2500 0.2500 0.7500 x4
Tc 0.2500 0.2500 0.2500 x4

- DFT total energy (eV/atom) = -7.802
- formation energy (eV per atom) = -0.36

---

[7]
## AlCo2Te (PBE-GGA)

Data for an optimized crystal structure of AlCo2Te.

a b c (Å): 8.7096 3.3109 4.1010
angles (deg): 90.00 102.82 90.00
Space group Cm (No. 8)
One atom of each set of equivalent atoms:
Al 0.0000 0.0000 0.0000 x2
Co 0.0112 0.5000 0.4861 x2
Co 0.2267 0.5000 0.0873 x2
Te 0.2417 0.0000 0.6055 x2

- DFT total energy (eV/atom) = -5.254
- ΔE_f (raw) (eV per atom) = 0.02
- excess energy over the best structure of this formula in the dataset (eV/f.u.) = 0.03

---

[8]
## AlCo4Te (PBE-GGA)

Data for an optimized crystal structure of AlCo4Te.

a b c (Å): 6.8963 6.8963 6.8963
angles (deg): 90.00 90.00 90.00
Space group F-43m (No. 216)
One atom of each set of equivalent atoms:
Al 0.0000 0.0000 0.0000 x4
Co 0.1257 0.1257 0.3743 x16
Te 0.2500 0.2500 0.7500 x4

- DFT total energy (eV/atom) = -5.683
- ΔE_f (raw) (eV per atom) = 0.20

---

[9]
## Al3CoTe (PBE-GGA)

Data for an optimized crystal structure of Al3CoTe.

a b c (Å): 4.6105 4.6105 4.6105
angles (deg): 90.00 90.00 90.00
Space group Pm-3m (No. 221)
One atom of each set of equivalent atoms:
Al 0.0000 0.0000 0.5000 x3
Co 0.0000 0.0000 0.0000 x1
Te 0.5000 0.5000 0.5000 x1

- DFT total energy (eV/atom) = -4.300
- ΔE_f (raw) (eV per atom) = 0.00
- excess energy over the best structure of this formula in the dataset (eV/f.u.) = 0.00

---

[10]
## AlCo2Te (PBE-GGA)

Data for an optimized crystal structure of AlCo2Te.

a b c (Å): 7.7886 3.1292 4.9763
angles (deg): 90.00 101.68 90.00
Space group C2/m (No. 12)
One atom of each set of equivalent atoms:
Al 0.0000 0.0000 0.0000 x2
Co 0.2482 0.5000 0.2292 x4
Te 0.0000 0.5000 0.5000 x2

- DFT total energy (eV/atom) = -5.148
- ΔE_f (raw) (eV per atom) = 0.13
- excess energy over the best structure of this formula in the dataset (eV/f.u.) = 0.45

---

[11]
## AlCo2Te (PBE-GGA)

Data for an optimized crystal structure of AlCo2Te.

a b c (Å): 4.5405 3.2089 8.8626
angles (deg): 90.00 90.00 90.00
Space group Amm2 (No. 38)
One atom of each set of equivalent atoms:
Al 0.0000 0.0000 0.0000 x2
Co 0.0000 0.0000 0.6979 x2
Co 0.5000 0.0000 0.1092 x2
Te 0.5000 0.0000 0.8156 x2

- DFT total energy (eV/atom) = -5.152
- ΔE_f (raw) (eV per atom) = 0.12
- excess energy over the best structure of this formula in the dataset (eV/f.u.) = 0.43

---

[12]
## AlCo2Te (PBE-GGA)

Data for an optimized crystal structure of AlCo2Te.

a b c (Å): 3.6290 3.6290 8.5746
angles (deg): 90.00 90.00 90.00
Space group I-4m2 (No. 119)
One atom of each set of equivalent atoms:
Al 0.0000 0.0000 0.0000 x2
Co 0.0000 0.0000 0.5000 x2
Co 0.0000 0.5000 0.2500 x2
Te 0.0000 0.5000 0.7500 x2

- DFT total energy (eV/atom) = -5.150
- ΔE_f (raw) (eV per atom) = 0.12
- excess energy over the best structure of this formula in the dataset (eV/f.u.) = 0.44

---

[13]
## AlCo2Te (PBE-GGA)

Data for an optimized crystal structure of AlCo2Te.

a b c (Å): 3.9162 3.9162 15.9630
angles (deg): 90.00 90.00 120.00
Space group R3m (No. 160, hexagonal axes)
One atom of each set of equivalent atoms:
Al 0.0000 0.0000 0.0000 x3
Co 0.0000 0.0000 0.4206 x3
Co 0.0000 0.0000 0.7449 x3
Te 0.0000 0.0000 0.1854 x3

- DFT total energy (eV/atom) = -5.128
- ΔE_f (raw) (eV per atom) = 0.15
- excess energy over the best structure of this formula in the dataset (eV/f.u.) = 0.53

---

[14]
## AlCo2Te (PBE-GGA)

Data for an optimized crystal structure of AlCo2Te.

a b c (Å): 6.0736 6.0736 6.0736
angles (deg): 90.00 90.00 90.00
Space group Fm-3m (No. 225)
One atom of each set of equivalent atoms:
Al 0.0000 0.0000 0.0000 x4
Co 0.2500 0.2500 0.2500 x8
Te 0.0000 0.0000 0.5000 x4

- DFT total energy (eV/atom) = -5.177
- ΔE_f (raw) (eV per atom) = 0.10
- excess energy over the best structure of this formula in the dataset (eV/f.u.) = 0.33

---

[15]
## AlCo2Te (PBE-GGA)

Data for an optimized crystal structure of AlCo2Te.

a b c (Å): 3.3940 3.4055 5.0794
angles (deg): 90.00 90.00 90.00
Space group Pmm2 (No. 25)
One atom of each set of equivalent atoms:
Al 0.0000 0.0000 0.0000 x1
Co 0.0000 0.0000 0.5235 x1
Co 0.5000 0.5000 0.8493 x1
Te 0.5000 0.5000 0.3542 x1

- DFT total energy (eV/atom) = -5.261
- ΔE_f (raw) (eV per atom) = 0.01
- excess energy over the best structure of this formula in the dataset (eV/f.u.) = 0.00

---

[16]
## AlCo2Te (PBE-GGA)

Data for an optimized crystal structure of AlCo2Te.

a b c (Å): 3.0393 3.0393 22.7317
angles (deg): 90.00 90.00 120.00
Space group R-3m (No. 166, hexagonal axes)
One atom of each set of equivalent atoms:
Al 0.0000 0.0000 0.0000 x3
Co 0.0000 0.0000 0.2524 x6
Te 0.0000 0.0000 0.5000 x3

- DFT total energy (eV/atom) = -5.054
- ΔE_f (raw) (eV per atom) = 0.22
- excess energy over the best structure of this formula in the dataset (eV/f.u.) = 0.83

---

[17]
## AlCoTe3 (PBE-GGA)

Data for an optimized crystal structure of AlCoTe3.

a b c (Å): 5.2719 5.2719 5.2719
angles (deg): 90.00 90.00 90.00
Space group Pm-3m (No. 221)
One atom of each set of equivalent atoms:
Al 0.0000 0.0000 0.0000 x1
Co 0.5000 0.5000 0.5000 x1
Te 0.0000 0.0000 0.5000 x3

- DFT total energy (eV/atom) = -3.194
- ΔE_f (raw) (eV per atom) = 0.86
- excess energy over the best structure of this formula in the dataset (eV/f.u.) = 2.16

---

[18]
## AlCo2Te (PBE-GGA)

Data for an optimized crystal structure of AlCo2Te.

a b c (Å): 6.2625 6.2625 6.2625
angles (deg): 90.00 90.00 90.00
Space group F-43m (No. 216)
One atom of each set of equivalent atoms:
Al 0.0000 0.0000 0.0000 x4
Co 0.0000 0.0000 0.5000 x4
Co 0.2500 0.2500 0.2500 x4
Te 0.2500 0.2500 0.7500 x4

- DFT total energy (eV/atom) = -4.801
- ΔE_f (raw) (eV per atom) = 0.47
- excess energy over the best structure of this formula in the dataset (eV/f.u.) = 1.84

---

[19]
## AlCo2Te (PBE-GGA)

Data for an optimized crystal structure of AlCo2Te.

a b c (Å): 4.0353 4.0353 15.9797
angles (deg): 90.00 90.00 90.00
Space group I-42d (No. 122)
One atom of each set of equivalent atoms:
Al 0.0000 0.0000 0.0000 x4
Co 0.2397 0.2500 0.1250 x8
Te 0.0000 0.0000 0.5000 x4

- DFT total energy (eV/atom) = -5.013
- ΔE_f (raw) (eV per atom) = 0.26
- excess energy over the best structure of this formula in the dataset (eV/f.u.) = 0.99

---

[20]
## AlCo2Te (PBE-GGA)

Data for an optimized crystal structure of AlCo2Te.

a b c (Å): 3.1506 3.1506 7.0481
angles (deg): 90.00 90.00 90.00
Space group P4mm (No. 99)
One atom of each set of equivalent atoms:
Al 0.0000 0.0000 0.0000 x1
Co 0.0000 0.0000 0.3540 x1
Co 0.5000 0.5000 0.1428 x1
Te 0.5000 0.5000 0.5245 x1

- DFT total energy (eV/atom) = -5.153
- ΔE_f (raw) (eV per atom) = 0.12
- excess energy over the best structure of this formula in the dataset (eV/f.u.) = 0.43